(1)
Tm4AsSeS2 (GGA-PBE, optimized geometry); space-group type = P2/m (10); DOS(E_F) = 0.38 states/eV/atom
1.0
6.830 0.000 0.000
0.000 3.935 0.000
-2.258 0.000 6.456
Tm As Se S
4 1 1 2
direct
0.232 0.000 0.235
0.239 0.500 0.755
0.761 0.500 0.245
0.768 0.000 0.765
0.500 0.000 0.000
0.500 0.500 0.500
0.000 0.000 0.500
0.000 0.500 0.000

***

(2)
Te3Ir (GGA-PBE, optimized geometry); space-group type = Cm (8); DOS(E_F) = 0.42 states/eV/atom
1.0
14.187 0.000 0.000
0.000 5.274 0.000
-0.669 0.000 3.102
Te Ir
6 2
direct
0.000 0.000 0.000
0.144 0.500 0.145
0.303 0.000 0.316
0.500 0.500 0.000
0.644 0.000 0.145
0.803 0.500 0.316
0.449 0.000 0.954
0.949 0.500 0.954

***

What total energy values result from the calculations? In sequence: -6.067 -4.462 eV per atom.